[1]
Compound: Ac4BiSb2S
Source: Alexandria via LeMat-Bulk
Functional: PBE
Structure: optimized geometry

Summary:
The space group is P2/m, No. 10. The value obtained for the density of states at the Fermi level is 1.844 states/eV/f.u.

Geometry as POSCAR:
```
Ac4BiSb2S
1.0
4.7238 0.0000 0.0000
0.0000 8.1506 -0.1559
0.0000 2.8726 7.6343
Sb Ac S Bi
2 4 1 1
Cartesian
0.0000 2.8727 7.6343
2.3619 1.4363 3.8171
2.3619 6.8101 1.8621
2.3619 4.2132 5.6162
0.0001 8.2288 5.5453
4.7238 2.7944 1.9330
0.0001 5.5116 3.7392
2.3619 4.0753 -0.0780
```

***

[2]
Compound: Ac4BiSbS2
Source: Alexandria via LeMat-Bulk
Functional: PBE
Structure: optimized geometry

Summary:
The space group is P2/m, No. 10. The value obtained for the density of states at the Fermi level is 3.785 states/eV/f.u.

Geometry as POSCAR:
```
Ac4BiSbS2
1.0
-3.6198 1.4510 2.4418
-2.1497 -7.4778 1.2569
3.4201 -2.6884 6.6677
Ac Bi S Sb
4 1 2 1
Cartesian
-3.2132 -0.9433 4.4672
-2.6246 -5.7027 3.8331
0.8639 -7.7719 5.8991
0.2752 -3.0125 6.5332
-2.8847 -3.0134 1.8494
3.4201 -2.6884 6.6677
-0.0999 -0.6187 4.5547
0.6352 -5.0830 3.9623
```

***

[3]
Compound: Ac4Bi2SbS
Source: Alexandria via LeMat-Bulk
Functional: PBE
Structure: optimized geometry

Summary:
The space group is P2/m, No. 10. The value obtained for the density of states at the Fermi level is 1.920 states/eV/f.u.

Geometry as POSCAR:
```
Ac4Bi2SbS
1.0
-4.4420 0.2407 1.6367
0.6100 -7.6761 2.7846
2.8328 0.0913 7.6748
S Bi Sb Ac
1 2 1 4
Cartesian
-1.9160 -3.7177 2.2107
-0.8046 0.1660 4.6558
2.8328 0.0913 7.6748
1.7214 -3.7924 5.2297
-1.0712 -5.5367 4.7711
2.6024 -5.5847 7.8845
-3.6016 -1.7594 4.2117
0.0720 -1.8074 7.3251
```

***

[4]
Compound: AcScBi2S6
Source: Alexandria via LeMat-Bulk
Functional: PBE
Structure: optimized geometry

Summary:
The space group is R3, No. 146. The value obtained for the density of states at the Fermi level is 0.000 states/eV/f.u.

Geometry as POSCAR:
```
AcScBi2S6
1.0
-2.7391 -4.3156 4.9298
-1.9183 -6.6127 -1.7383
4.1973 -5.6820 2.4738
S Bi Ac Sc
6 2 1 1
Cartesian
-1.3955 -8.5986 0.0323
-2.7059 -9.3745 4.2527
0.7660 -10.6612 2.6094
0.9974 -8.2959 5.0886
-1.0122 -5.3742 3.1279
2.0419 -7.5523 1.9028
3.9616 -5.5982 2.4157
-0.6109 -8.1705 2.7390
-1.3660 -12.0954 3.9984
-1.3367 -3.7192 1.1169
```

***

[5]
Compound: Ac6BiSe3S2
Source: Alexandria via LeMat-Bulk
Functional: PBE
Structure: optimized geometry

Summary:
The space group is C2/m, No. 12. The value obtained for the density of states at the Fermi level is 5.483 states/eV/f.u.

Geometry as POSCAR:
```
Ac6BiSe3S2
1.0
4.4845 0.0000 0.0000
0.0000 9.0145 0.3235
-2.2422 -2.5964 9.4229
Ac Se Bi S
6 3 1 2
Cartesian
2.2422 4.0444 9.5296
2.2422 4.3130 3.3943
0.0000 2.1050 6.3521
0.0000 2.3737 0.2168
2.2423 -0.0143 3.2971
0.0000 6.4324 6.4493
2.2422 -0.2340 6.4332
0.0000 6.6521 3.3132
2.2422 4.5072 0.1617
2.2422 0.0000 0.0000
2.2422 4.2597 6.4453
0.0000 2.1584 3.3011
```

***

[6]
Compound: Ac4Bi2TeS
Source: Alexandria via LeMat-Bulk
Functional: PBE
Structure: optimized geometry

Summary:
The space group is P2/m, No. 10. The value obtained for the density of states at the Fermi level is 3.636 states/eV/f.u.

Geometry as POSCAR:
```
Ac4Bi2TeS
1.0
-4.2888 1.0686 -1.6859
-3.4351 -3.0732 6.7909
1.5465 7.8706 1.0546
Te Bi Ac S
1 2 4 1
Cartesian
-3.8620 -1.0023 2.5525
-1.3712 4.4696 -0.3156
-0.9443 2.3987 3.9228
-2.5832 1.6556 0.9840
-2.2390 -0.4448 5.4142
0.3504 5.2422 2.4314
-3.5943 4.2105 5.1757
0.0000 0.0000 0.0000
```

***

[7]
Compound: Ac6Bi2Te3S
Source: Alexandria via LeMat-Bulk
Functional: PBE
Structure: optimized geometry

Summary:
The space group is C2/m, No. 12. The value obtained for the density of states at the Fermi level is 4.104 states/eV/f.u.

Geometry as POSCAR:
```
Ac6Bi2Te3S
1.0
4.7004 0.0000 0.0000
0.0000 9.4757 0.3081
-2.3502 -2.7593 9.9444
Ac Te Bi S
6 3 2 1
Cartesian
0.0000 6.8407 7.2128
2.3502 -0.6640 9.9677
0.0000 2.0960 6.7736
2.3502 -0.1243 3.0398
2.3502 4.6204 3.4790
0.0000 7.3804 0.2848
2.3502 4.7379 0.1541
2.3502 -0.2699 6.5591
0.0000 6.9863 3.6935
2.3502 4.4759 6.8578
0.0000 2.2405 3.3947
2.3502 0.0000 0.0000
```

***

[8]
Compound: Ac4BiTe2S
Source: Alexandria via LeMat-Bulk
Functional: PBE
Structure: optimized geometry

Summary:
The space group is P2/m, No. 10. The value obtained for the density of states at the Fermi level is 4.306 states/eV/f.u.

Geometry as POSCAR:
```
Ac4BiTe2S
1.0
-1.4954 0.6158 -4.3489
-0.5677 -8.0238 -0.9409
-7.0884 2.8537 2.8414
Ac Te Bi S
4 2 1 1
Cartesian
-6.5782 -3.4013 -0.6948
-5.6488 -0.0015 1.9421
-2.5733 -1.1530 -1.7536
-2.0073 -5.1686 -0.0416
-4.2919 1.7348 -0.7538
-3.8281 -2.5850 0.9503
0.0000 0.0000 0.0000
-1.0315 -3.7040 -2.6449
```

***

[9]
Compound: Ac3Tl3BiS8
Source: Alexandria via LeMat-Bulk
Functional: PBE
Structure: optimized geometry

Summary:
The space group is R-3m, No. 166. The value obtained for the density of states at the Fermi level is 12.607 states/eV/f.u.

Geometry as POSCAR:
```
Ac3Tl3BiS8
1.0
8.7481 0.0000 0.0000
-4.3741 7.5765 -0.0272
0.0000 -5.0272 7.2369
Bi S Tl Ac
1 8 3 3
Cartesian
0.0000 -2.5136 3.6185
-2.2730 3.8551 5.1189
4.3740 2.6311 2.0766
0.0000 -0.0818 5.1332
2.1011 -1.3059 2.0908
4.3740 0.0174 5.1911
0.0000 2.5318 2.0187
6.6470 -1.3059 2.0908
2.2730 3.8551 5.1189
-2.1870 3.7882 -0.0136
2.1870 3.7882 -0.0136
0.0000 0.0000 0.0000
4.3740 -2.5136 3.6185
2.1870 1.2746 3.6049
-2.1870 1.2746 3.6049
```

***

[10]
Compound: Ac2Tl3BiS6
Source: Alexandria via LeMat-Bulk
Functional: PBE
Structure: optimized geometry

Summary:
The space group is C2/m, No. 12. The value obtained for the density of states at the Fermi level is 0.000 states/eV/f.u.

Geometry as POSCAR:
```
Ac2Tl3BiS6
1.0
7.5112 0.0024 0.0012
-3.7517 6.5071 0.0012
-1.2530 -2.1695 7.4444
Tl S Bi Ac
3 6 1 2
Cartesian
5.0125 -0.0011 3.7234
1.2533 2.1700 3.7234
-2.5060 4.3411 3.7234
2.4197 0.0022 1.5576
2.5477 4.4113 1.5880
0.0868 4.3378 5.8892
3.7139 2.2431 5.8892
-1.2074 2.0969 1.5576
-0.0412 -0.0713 5.8588
0.0000 0.0000 0.0000
0.0012 4.3397 0.0012
3.7583 2.1698 0.0012
```

***

[11]
Compound: AcTl3Bi2S6
Source: Alexandria via LeMat-Bulk
Functional: PBE
Structure: optimized geometry

Summary:
The space group is C2/m, No. 12.

Geometry as POSCAR:
```
AcTl3Bi2S6
1.0
7.3421 0.0075 0.0029
-3.6628 6.3632 0.0029
-1.2243 -2.1198 7.4509
Bi S Tl Ac
2 6 3 1
Cartesian
3.6651 2.1311 0.0029
0.0142 4.2396 0.0029
-1.2603 2.2008 1.5784
2.4065 4.1669 1.5493
-0.0811 4.2426 5.8782
3.7153 2.0500 5.8782
2.5361 0.0082 1.5784
0.0485 0.0840 5.9074
-2.4403 4.2437 3.7283
4.8953 0.0071 3.7283
1.2275 2.1254 3.7283
0.0000 0.0000 0.0000
```

***

[12]
Compound: AcTl2BiS4
Source: Alexandria via LeMat-Bulk
Functional: PBE
Structure: optimized geometry

Summary:
The space group is P2/m, No. 10.

Geometry as POSCAR:
```
AcTl2BiS4
1.0
-1.3415 -3.6152 1.9026
5.8314 -3.6322 -2.7901
2.0147 2.9437 7.0141
Tl Bi S Ac
2 1 4 1
Cartesian
3.9231 -0.3442 2.1120
0.3366 -0.3357 4.4583
0.0000 0.0000 0.0000
3.0627 1.4032 4.8257
1.0790 -2.0195 1.7823
5.4256 -2.2841 4.3443
4.7834 -2.0916 -0.6017
2.2450 -3.6237 -0.4438
```

***

[13]
Compound: AcTmBi2S6
Source: Alexandria via LeMat-Bulk
Functional: PBE
Structure: optimized geometry

Summary:
The space group is R3, No. 146. The value obtained for the density of states at the Fermi level is 0.000 states/eV/f.u.

Geometry as POSCAR:
```
AcTmBi2S6
1.0
7.1799 0.0003 0.0002
3.5902 6.2182 0.0001
3.5898 2.0731 6.3210
Tm S Ac Bi
1 6 1 2
Cartesian
3.5899 2.0728 0.2840
5.1427 4.0091 4.7729
5.8069 6.3089 1.5476
8.3165 2.4498 4.7732
8.0800 5.9783 4.7729
9.7400 4.2534 1.5478
5.9932 1.8751 1.5472
10.7698 6.2186 3.6290
3.5898 2.0731 6.0533
7.1800 4.1457 2.7747
```

***

[14]
Compound: Ac2ZnBiS5
Source: Alexandria via LeMat-Bulk
Functional: PBE
Structure: optimized geometry

Summary:
The space group is Cmc2_1, No. 36. The value obtained for the density of states at the Fermi level is 0.881 states/eV/f.u.

Geometry as POSCAR:
```
Ac2ZnBiS5
1.0
-2.9068 3.0351 0.8211
1.0086 -4.1415 7.7137
8.9444 7.7562 2.9948
Zn Ac S Bi
2 4 10 2
Cartesian
6.7823 8.4741 3.8522
3.3922 0.8885 8.7248
5.7202 6.1081 8.8378
2.9045 1.9106 3.2203
6.1275 4.8296 3.8404
-0.0505 0.9798 7.3646
2.9611 1.1170 6.3538
0.7859 3.3796 1.4549
3.0549 4.7391 4.4625
6.1117 7.2902 5.8543
5.8492 3.7908 6.6946
2.6177 2.8654 9.8407
6.2983 3.3031 10.0874
-0.1353 -1.6677 5.6854
-0.0119 1.8106 4.4302
0.0216 -0.0371 0.2134
3.1363 4.0983 7.1192
0.2289 -0.6406 3.1779
```

***

[15]
Compound: Ac2Bi4Sb
Source: Alexandria via LeMat-Bulk
Functional: PBE
Structure: optimized geometry

Summary:
The space group is C2/m, No. 12. The value obtained for the density of states at the Fermi level is 4.546 states/eV/f.u.

Geometry as POSCAR:
```
Ac2Bi4Sb
1.0
-5.8160 3.8454 0.6258
-1.2384 -0.7594 -6.8480
0.8341 -5.7883 4.0773
Bi Sb Ac
4 1 2
Cartesian
-1.9557 0.4689 -1.4867
-2.5752 0.0887 -4.9102
-4.8637 2.3909 -1.1738
-5.4839 2.0108 -4.5978
-5.0665 -0.8829 -2.5591
-4.4464 -0.5036 0.8646
-2.1583 -2.8054 -2.8711
```

***

[16]
Compound: Ac5Bi2Sb2
Source: Alexandria via LeMat-Bulk
Functional: PBE
Structure: optimized geometry

Summary:
The space group is Cmce, No. 64. The value obtained for the density of states at the Fermi level is 9.400 states/eV/f.u.

Geometry as POSCAR:
```
Ac5Bi2Sb2
1.0
9.0221 0.0000 0.0000
0.0000 7.9106 -4.0666
0.0000 -0.0495 9.6312
Sb Ac Bi
4 10 4
Cartesian
1.2858 5.0799 -2.6114
7.7364 2.8307 -1.4552
5.7969 6.7860 -3.4885
3.2253 1.1246 -0.5781
5.9461 2.3165 1.3842
1.4351 3.7329 0.6561
3.0760 5.5447 4.1804
3.0760 7.6882 -1.3772
5.9461 0.1729 6.9418
1.4351 1.5894 6.2137
7.5871 6.2718 -0.6491
7.5871 4.1282 4.9085
4.5111 3.9553 -2.0333
0.0000 0.0000 0.0000
4.5111 5.5193 1.0091
0.0000 6.2971 2.5222
0.0000 1.5640 3.0424
4.5111 2.3418 4.5555
```

***

[17]
Compound: Ac7BiSb5
Source: Alexandria via LeMat-Bulk
Functional: PBE
Structure: optimized geometry

Summary:
The space group is Cmcm, No. 63. The value obtained for the density of states at the Fermi level is 5.359 states/eV/f.u.

Geometry as POSCAR:
```
Ac7BiSb5
1.0
-0.9930 1.0254 4.5562
5.6949 -5.9058 0.0686
20.2251 19.5004 0.0195
Ac Sb Bi
14 10 2
Cartesian
16.5197 10.2915 3.7860
1.6471 -0.2847 2.9247
11.7400 3.7491 4.2166
23.2875 14.8971 1.7229
10.3331 8.0937 2.9322
9.8216 -0.0677 2.1558
5.9366 -1.8489 4.2116
14.5976 6.5225 1.7136
5.4872 1.5004 0.8583
18.9987 16.4634 0.4356
19.4466 13.1116 3.7892
15.1115 14.6799 2.4915
13.1905 10.8660 0.4294
8.4118 4.3221 0.8606
17.7532 7.6865 2.1394
22.0073 11.7853 2.1442
0.0043 -0.0028 0.0016
20.5911 16.1186 3.3619
10.1141 9.7484 0.0105
2.9269 2.8267 2.5034
4.3433 -1.5065 1.2856
7.1786 6.9281 2.5071
11.4573 5.3563 1.2917
13.4735 9.2596 3.3543
7.6771 2.1543 3.6901
17.2561 12.4579 0.9573
```

***

[18]
Compound: AcBi2Sb
Source: Alexandria via LeMat-Bulk
Functional: PBE
Structure: optimized geometry

Summary:
The space group is R-3m, No. 166. The value obtained for the density of states at the Fermi level is 3.126 states/eV/f.u.

Geometry as POSCAR:
```
AcBi2Sb
1.0
-5.0702 0.4370 2.0777
-2.8707 -4.5266 1.2179
-0.6386 -1.3207 5.9905
Bi Ac Sb
2 1 1
Cartesian
-6.2665 -4.0542 7.3741
-2.3130 -1.3561 1.9120
-4.2897 -2.7052 4.6431
0.0000 0.0000 0.0000
```

***

[19]
Compound: Ac6BiSb4
Source: Alexandria via LeMat-Bulk
Functional: PBE
Structure: optimized geometry

Summary:
The space group is R-3c, No. 167. The value obtained for the density of states at the Fermi level is 11.950 states/eV/f.u.

Geometry as POSCAR:
```
Ac6BiSb4
1.0
9.5019 -0.0076 -0.0722
0.0716 9.5016 -0.0722
0.0077 0.0076 9.5022
Sb Ac Bi
8 12 2
Cartesian
8.2142 2.3716 3.3625
3.4544 1.3074 2.3395
2.4222 6.0583 1.2443
7.1590 3.4434 8.1135
6.1268 8.1942 7.0184
2.3991 2.3792 7.0906
7.1820 7.1224 2.2673
1.3669 7.1300 5.9954
0.8361 3.0475 0.5019
7.8450 5.5615 5.1809
4.2816 7.7983 3.8471
1.7362 3.9402 4.1770
0.5992 8.6910 2.9779
8.7451 6.4541 8.8559
8.9820 0.8107 6.3800
3.1224 8.9749 8.5982
5.5968 4.2165 1.6289
3.9843 5.2852 7.7290
6.4587 0.5267 0.7597
5.2995 1.7033 5.5108
4.7906 4.7508 4.6789
0.0000 0.0000 0.0000
```

***

[20]
Compound: AcBiSb3
Source: Alexandria via LeMat-Bulk
Functional: PBE
Structure: optimized geometry

Summary:
The space group is Pbcm, No. 57. The value obtained for the density of states at the Fermi level is 2.334 states/eV/f.u.

Geometry as POSCAR:
```
AcBiSb3
1.0
-1.6720 -5.7042 2.9586
-1.6498 -2.4909 -5.7349
13.9347 -5.0305 -1.8238
Bi Sb Ac
4 12 4
Cartesian
10.3756 -9.2144 -4.4513
1.0732 -1.1591 -1.6282
0.2372 -4.0112 -0.1489
11.2116 -6.3623 -5.9306
11.9105 -6.5047 -2.0848
-0.3081 -3.6371 -3.4611
1.5899 -6.8569 -1.1456
6.5641 -3.1413 -2.3469
5.7281 -5.9934 -0.8676
9.0025 -7.9896 0.8596
4.8848 -7.2322 -3.7326
9.0230 -6.3687 -3.4545
-1.2976 -6.7209 -2.5153
1.6104 -5.2361 -5.4598
5.7208 -4.3801 -5.2119
10.9210 -9.5886 -1.1391
3.2724 -5.9235 1.6047
7.3173 -8.9270 -1.9001
7.3405 -7.3021 -6.2049
3.2956 -4.2986 -2.7001
```

***

Q: Which electronic total energy values were calculated for the entries above? A: -5.414 -5.603 -5.326 -5.442 -5.668 -5.269 -5.235 -5.311 -4.953 -4.799 -4.423 -4.603 -5.314 -5.122 -4.523 -5.002 -5.157 -4.297 -4.921 -4.460, in eV/atom.